1.
LaP2BrCl: optimized geometry, GGA-PBE.

Values from the calculation:
Space-group type: P4/mmm (123)
ΔE to the lowest computed polymorph (meV/atom): 0

Cell lengths 4.9569, 4.9569, 4.9825 Å; angles 90.00, 90.00, 90.00 degrees
Element x y z (fractional)
P 0.0000 0.5000 0.0000
P 0.5000 0.0000 0.0000
Cl 0.0000 0.0000 0.5000
Br 0.0000 0.0000 0.0000
La 0.5000 0.5000 0.5000

2.
Dy6Bi3SbSe2: optimized geometry, GGA-PBE.

Values from the calculation:
Space-group type: C2/m (12)

Cell lengths 4.3365, 8.6708, 9.6852 Å; angles 103.04, 102.94, 90.00 degrees
Element x y z (fractional)
Dy 0.3331 0.9055 0.6662
Dy 0.6708 0.5737 0.3416
Dy 0.6669 0.0945 0.3338
Dy 0.0061 0.2487 0.0121
Dy 0.9939 0.7513 0.9879
Dy 0.3292 0.4263 0.6584
Bi 0.5000 0.5000 0.0000
Bi 0.8353 0.1692 0.6705
Bi 0.1647 0.8308 0.3295
Sb 0.5000 0.0000 0.0000
Se 0.8315 0.6648 0.6630
Se 0.1685 0.3352 0.3370

Calculated values (Bohr magnetons per cell) of magnetization for the records, taken in order: 0.0; 0.0.
Calculated values (eV per atom) of uncorrected energy for the records, taken in order: -3.7974; -5.3804.